LiMn2Ag: relaxed, PBE.

Cell and atoms, written as CIF:
```
data_LiMn2Ag
_space_group_name_H-M_alt 'P m m m'
_space_group_IT_number 47
_cell_length_a 2.533
_cell_length_b 4.343
_cell_length_c 4.723
_cell_angle_alpha 90.00
_cell_angle_beta 90.00
_cell_angle_gamma 90.00
loop_
_space_group_symop_operation_xyz
'x,y,z'
'-x,-y,-z'
'-x,-y,z'
'x,y,-z'
'x,-y,-z'
'-x,y,z'
'-x,y,-z'
'x,-y,z'
loop_
_atom_site_label
_atom_site_fract_x
_atom_site_fract_y
_atom_site_fract_z
Li1 0.000 0.000 0.000
Mn1 0.500 0.500 0.212
Ag1 0.000 0.000 0.500
```

## Properties
ΔH_f (0 K) = 0.51 eV/atom

LiMn2Ag: relaxed, PBE.

Cell and atoms, written as CIF:
```
data_LiMn2Ag
_space_group_name_H-M_alt 'P 4 m m'
_space_group_IT_number 99
_cell_length_a 2.756
_cell_length_b 2.756
_cell_length_c 8.049
_cell_angle_alpha 90.00
_cell_angle_beta 90.00
_cell_angle_gamma 90.00
loop_
_space_group_symop_operation_xyz
'x,y,z'
'-y,x,z'
'-x,-y,z'
'y,-x,z'
'-x,y,z'
'y,x,z'
'x,-y,z'
'-y,-x,z'
loop_
_atom_site_label
_atom_site_fract_x
_atom_site_fract_y
_atom_site_fract_z
Li1 0.000 0.000 0.000
Mn1 0.000 0.000 0.481
Mn2 0.500 0.500 0.263
Ag1 0.500 0.500 0.743
```

## Properties
ΔH_f (0 K) = 0.25 eV/atom

LiMnAg: relaxed, PBE.

Cell and atoms, written as CIF:
```
data_LiMnAg
_space_group_name_H-M_alt 'F -4 3 m'
_space_group_IT_number 216
_space_group_name_Hall 'F -4 2 3'
_cell_length_a 6.224
_cell_length_b 6.224
_cell_length_c 6.224
_cell_angle_alpha 90.00
_cell_angle_beta 90.00
_cell_angle_gamma 90.00
loop_
_atom_site_label
_atom_site_fract_x
_atom_site_fract_y
_atom_site_fract_z
Li1 0.000 0.000 0.000
Mn1 0.000 0.000 0.500
Ag1 0.250 0.250 0.750
```

## Properties
ΔH_f (0 K) = 0.44 eV/atom
distance to the lowest polymorph of the same formula = 0.262 eV/atom

LiMnAg2: relaxed, PBE.

Cell and atoms, written as CIF:
```
data_LiMnAg2
_space_group_name_H-M_alt 'P m m 2'
_space_group_IT_number 25
_cell_length_a 2.883
_cell_length_b 4.092
_cell_length_c 5.616
_cell_angle_alpha 90.00
_cell_angle_beta 90.00
_cell_angle_gamma 90.00
loop_
_space_group_symop_operation_xyz
'x,y,z'
'-x,-y,z'
'-x,y,z'
'x,-y,z'
loop_
_atom_site_label
_atom_site_fract_x
_atom_site_fract_y
_atom_site_fract_z
Li1 0.000 0.000 0.000
Mn1 0.500 0.500 0.277
Ag1 0.000 0.000 0.497
Ag2 0.500 0.500 0.784
```

## Properties
ΔH_f (0 K) = 0.13 eV/atom

no.,magnetic moment (μB per formula unit)
1,0.0
2,6.7
3,4.3
4,4.0